Here is a relaxed structure of MgAs2Os from Alexandria via LeMat-Bulk. Energies are from PBE-GGA.

Lattice parameters (Å, degrees): 6.856 6.856 6.856 31.10 31.10 31.10
Fractional coordinates of all 4 atoms:
As: 0.014 0.014 0.014
As: 0.486 0.486 0.486
Mg: 0.250 0.250 0.250
Os: 0.750 0.750 0.750

Computed properties:
Its formation energy is 41 meV per atom. Its space group is R-3m (166). For the density of states at the Fermi level, the calculation gives 0.600 states/eV per atom. As for the total magnetization: 0.00 μB/cell.